Entry 1:
An optimized crystal structure of Ca2MnOs, computed with PBE.

Output
**DFT formation energy**: 0.63 eV/atom
**Space group**: No. 225
**Density of states at the Fermi level**: 2.43 states/eV/cell
**Calculated volume**: 21.81 Å³/atom

Cell and atoms, written as POSCAR:
```
Ca2MnOs
1.0
2.782 -4.063 0.733
0.945 -1.568 4.629
-2.102 -4.184 1.689
Ca Os Mn
2 1 1
Direct
0.250 0.250 0.250 Ca
0.750 0.750 0.750 Ca
0.500 0.500 0.500 Os
0.000 0.000 0.000 Mn
```

***

Entry 2:
An optimized crystal structure of Tl2SeBr, computed with PBE.

Output
**Space group**: No. 225
**Formation energy (no corrections)**: -36.9 kJ/mol of atoms
**Density of states at the Fermi level**: 4.35 states/eV/cell
**Calculated volume**: 29.09 Å³/atom

Cell and atoms, written as POSCAR:
```
Tl2SeBr
1.0
0.000 3.875 3.875
3.875 0.000 3.875
3.875 3.875 0.000
Br Tl Se
1 2 1
Direct
0.500 0.500 0.500 Br
0.250 0.250 0.250 Tl
0.750 0.750 0.750 Tl
0.000 0.000 0.000 Se
```

***

Q: Which of these has the highest density of states at the Fermi level?
A: Tl2SeBr

***

Q: Number 1 is which compound?
A: Ca2MnOs